[1]
A plane-wave DFT calculation with PBE-GGA was carried out for an optimized crystal structure of Sc2OsCl.

Lattice parameters (Å, degrees): 3.185 3.185 7.583 90.00 90.00 90.00
Space group P4/mmm (No. 123)
One atom of each set of equivalent atoms:
Sc 0.000 0.000 0.210
Os 0.500 0.500 0.000
Cl 0.500 0.500 0.500

The distance to the lowest polymorph of the same formula is 105 meV per atom. The formation energy (no corrections) comes out at -0.84 eV per atom.

***

[2]
A plane-wave DFT calculation with PBE-GGA was carried out for an optimized crystal structure of AuI2BrO.

Lattice parameters (Å, degrees): 5.809 5.809 3.982 90.00 90.00 90.00
Space group P4/mmm (No. 123)
One atom of each set of equivalent atoms:
Au 0.000 0.000 0.000
I 0.000 0.500 0.500
Br 0.500 0.500 0.500
O 0.500 0.500 0.000

The distance to the lowest polymorph of the same formula is 297 meV per atom. The formation energy (no corrections) comes out at 0.70 eV per atom.

***

[3]
A plane-wave DFT calculation with PBE-GGA was carried out for an optimized crystal structure of NdTmGa2Ru2.

Lattice parameters (Å, degrees): 4.3450 4.3450 7.4165 90.00 90.00 120.00
Space group P-3m1 (No. 164)
One atom of each set of equivalent atoms:
Nd 0.0000 0.0000 0.0000
Tm 0.0000 0.0000 0.5000
Ga 0.3333 0.6667 0.2750
Ru 0.3333 0.6667 0.7287

For the formation energy, the calculation gives -0.47 eV per atom.

***

[4]
A plane-wave DFT calculation with PBE-GGA was carried out for an optimized crystal structure of Ta2HIrPd.

Lattice parameters (Å, degrees): 4.059 4.059 4.060 90.00 90.00 90.00
Space group P4/mmm (No. 123)
One atom of each set of equivalent atoms:
Ta 0.000 0.500 0.000
H 0.000 0.000 0.000
Ir 0.500 0.500 0.500
Pd 0.000 0.000 0.500

The distance to the lowest polymorph of the same formula is 0 meV per atom.

***

| no. | raw total energy (eV/atom) |
| --- | --- |
| 1 | -7.27 |
| 2 | -1.90 |
| 3 | -6.11 |
| 4 | -8.54 |